Er2TmSe4 | PBE | relaxed

a b c (Å): 14.9002 4.0548 7.0718
angles (deg): 90.00 116.97 90.00
Space group C2/m (No. 12)
Inequivalent atoms, fractional coordinates:
1 Er 0.2348 0.0000 0.2239 [4 per cell]
2 Tm 0.0000 0.5000 0.5000 [2 per cell]
3 Se 0.1218 0.5000 0.9429 [4 per cell]
4 Se 0.1333 0.0000 0.4861 [4 per cell]

The distance to the lowest polymorph of the same formula is 0.000 eV/atom. As for the crystal system: monoclinic. Its total magnetization is 0.00 μB/f.u.